(1)
6
Lattice="-1.496 5.068 -3.111 -2.152 -0.440 -5.725 -5.888 1.255 -1.167" Properties=species:S:1:pos:R:3 comment="Y4ZrZn (SCAN, single point on PBEsol structure)" e_form_ev_per_fu=3.08 sg=F-43m magnetic_moment_mub_per_fu=2.0 dft_energy_ev_per_atom=-25.42 pbc="T T T"
Y -3.572 2.203 -3.747
Y -6.526 2.833 -4.333
Y -4.322 4.746 -5.308
Y -4.651 1.983 -6.620
Zn -7.152 4.412 -7.503
Zr 0.000 0.000 0.000

=====

(2)
5
Lattice="-2.348 -1.777 2.557 -0.005 -3.200 -2.229 3.114 -1.345 1.925" Properties=species:S:1:pos:R:3 comment="HfMn3O (SCAN, single point on PBEsol structure)" sg=Pm-3m magnetic_moment_mub_per_fu=7.3 dft_energy_ev_per_atom=-25.31 pbc="T T T"
Mn -0.002 -1.600 -1.114
Mn 1.557 -0.672 0.962
Mn -1.174 -0.889 1.278
Hf 0.381 -3.161 1.126
O 0.000 0.000 0.000

=====

(3)
3
Lattice="-1.417 0.629 3.055 -3.021 -1.110 -1.172 3.365 -4.462 0.559" Properties=species:S:1:pos:R:3 comment="Sc2Se (SCAN, single point on PBEsol structure)" sg=I4/mmm magnetic_moment_mub_per_fu=0.0 dft_energy_ev_per_atom=-17.17 pbc="T T T"
Sc 0.792 -3.252 1.037
Sc -1.866 -1.691 1.404
Se 0.000 0.000 0.000

=====

(4)
4
Lattice="-2.608 -0.963 0.214 1.800 -2.121 0.188 0.318 1.021 8.464" Properties=species:S:1:pos:R:3 comment="MgMo2P (SCAN, single point on PBEsol structure)" e_form_ev_per_fu=0.60 sg=Cmm2 magnetic_moment_mub_per_fu=0.0 dft_energy_ev_per_atom=-21.14 pbc="T T T"
Mg -0.323 -1.281 2.368
Mo 0.314 1.008 8.349
Mo -0.169 -0.788 6.450
P 0.165 0.530 4.395

=====

(5)
5
Lattice="-0.539 2.582 -4.230 -2.589 -3.775 -1.975 -4.226 1.983 1.749" Properties=species:S:1:pos:R:3 comment="SbS3I (SCAN, single point on PBEsol structure)" sg=Pm-3m magnetic_moment_mub_per_fu=0.0 dft_energy_ev_per_atom=-19.93 pbc="T T T"
I -3.677 0.395 -2.228
Sb 0.000 0.000 0.000
S -1.294 -1.887 -0.987
S -2.113 0.991 0.875
S -0.270 1.291 -2.115

=====

(6)
4
Lattice="-1.573 2.499 0.873 -2.468 -0.897 -1.877 -2.795 -3.654 5.422" Properties=species:S:1:pos:R:3 comment="Sc2BeW (SCAN, single point on PBEsol structure)" e_form_ev_per_fu=0.77 sg=Pmm2 magnetic_moment_mub_per_fu=0.0 dft_energy_ev_per_atom=-25.44 pbc="T T T"
Sc -2.603 -3.402 5.048
Sc -2.882 -0.325 1.169
Be -3.977 -1.757 3.294
W -1.568 -2.049 3.040

=====

(7)
5
Lattice="4.155 0.000 0.000 0.000 4.155 0.000 0.000 0.000 4.837" Properties=species:S:1:pos:R:3 comment="TaBe2IrF (SCAN, single point on PBEsol structure)" sg=P4/mmm magnetic_moment_mub_per_fu=0.0 dft_energy_ev_per_atom=-29.79 pbc="T T T"
Be 0.000 2.078 0.000
Be 2.078 0.000 0.000
F 2.078 2.078 2.419
Ir 0.000 0.000 0.000
Ta 0.000 0.000 2.419

=====

(8)
5
Lattice="-2.696 -3.032 -0.743 2.397 -1.382 -3.059 3.491 -1.854 6.353" Properties=species:S:1:pos:R:3 comment="NaTc2Te2 (SCAN, single point on PBEsol structure)" sg=I4/mmm magnetic_moment_mub_per_fu=0.0 dft_energy_ev_per_atom=-29.83 pbc="T T T"
Na 0.000 0.000 0.000
Te 2.442 -2.968 3.254
Te 0.750 -3.300 -0.703
Tc 2.869 -2.722 0.697
Tc 0.323 -3.547 1.855

=====

(9)
18
Lattice="-1.515 3.417 -0.792 -0.256 -0.346 -10.213 -10.592 -3.311 -3.236" Properties=species:S:1:pos:R:3 comment="TlIn3S5 (SCAN, single point on PBEsol structure)" sg=C2/m magnetic_moment_mub_per_fu=0.0 dft_energy_ev_per_atom=-25.19 pbc="T T T"
Tl -9.830 -0.295 -10.107
Tl -2.532 0.054 -4.135
In -7.371 0.254 -3.235
In -9.302 -1.231 -5.946
In -3.060 0.991 -8.296
In -4.992 -0.494 -11.007
In -5.424 -1.829 -6.725
In 0.000 0.000 0.000
S -2.564 0.631 -10.799
S -5.648 1.659 -9.681
S -7.266 -1.572 -11.308
S -7.710 -0.962 -7.829
S -5.097 1.332 -2.934
S -4.652 0.722 -6.413
S -6.715 -1.899 -4.561
S -0.845 0.004 -7.575
S -9.798 -0.871 -3.443
S -11.517 -0.245 -6.667

=====

(10)
5
Lattice="4.336 0.000 0.000 0.000 4.336 0.000 -2.168 -2.168 7.422" Properties=species:S:1:pos:R:3 comment="NaY2Au2 (SCAN, single point on PBEsol structure)" e_form_ev_per_fu=-1.67 sg=I4/mmm magnetic_moment_mub_per_fu=0.0 dft_energy_ev_per_atom=-39.98 pbc="T T T"
Y 0.000 0.000 5.563
Y 2.168 2.168 1.859
Na 0.000 0.000 0.000
Au 0.000 2.168 3.711
Au 2.168 0.000 3.711

=====

(11)
10
Lattice="7.683 0.000 0.000 3.842 6.654 0.000 3.842 2.218 6.273" Properties=species:S:1:pos:R:3 comment="Cs2NaPrCl6 (SCAN, single point on PBEsol structure)" sg=Fm-3m magnetic_moment_mub_per_fu=0.0 dft_energy_ev_per_atom=-19.48 pbc="T T T"
Pr 0.000 0.000 0.000
Cs 11.525 6.654 4.705
Cs 3.842 2.218 1.568
Na 7.683 4.436 3.137
Cl 9.604 5.545 1.568
Cl 5.762 5.545 1.568
Cl 5.762 3.327 4.705
Cl 9.604 3.327 4.705
Cl 7.683 2.218 1.568
Cl 7.683 6.654 4.705

=====

(12)
4
Lattice="-1.670 3.583 -2.158 -4.071 1.589 1.088 -0.379 3.943 2.141" Properties=species:S:1:pos:R:3 comment="CoHg2Os (SCAN, single point on PBEsol structure)" e_form_ev_per_fu=4.00 sg=F-43m magnetic_moment_mub_per_fu=2.8 dft_energy_ev_per_atom=-55.38 pbc="T T T"
Co -3.060 4.557 0.536
Os -1.530 2.279 0.268
Hg 0.000 0.000 0.000
Hg -4.590 6.836 0.804

=====

(13)
3
Lattice="-2.330 0.377 -1.701 2.445 -0.825 -3.531 -0.940 -4.257 0.344" Properties=species:S:1:pos:R:3 comment="Li2As (SCAN, single point on PBEsol structure)" e_form_ev_per_fu=-1.88 sg=P4/mmm magnetic_moment_mub_per_fu=0.0 dft_energy_ev_per_atom=-8.95 pbc="T T T"
As 0.000 0.000 0.000
Li -1.635 -1.940 -0.678
Li 0.058 -0.224 -2.616

=====

(14)
5
Lattice="-0.480 1.981 -3.679 -3.620 -2.048 -0.630 -2.088 3.095 1.938" Properties=species:S:1:pos:R:3 comment="BMo3Cl (SCAN, single point on PBEsol structure)" sg=Pm-3m magnetic_moment_mub_per_fu=0.0 dft_energy_ev_per_atom=-22.96 pbc="T T T"
Mo -1.810 -1.024 -0.315
Mo -1.044 1.547 0.969
Mo -0.240 0.990 -1.840
B 0.000 0.000 0.000
Cl -3.094 1.514 -1.185

=====

(15)
5
Lattice="5.214 0.000 0.000 0.000 5.214 0.000 0.000 0.000 5.214" Properties=species:S:1:pos:R:3 comment="BeTcHg3 (SCAN, single point on PBEsol structure)" e_form_ev_per_fu=6.08 sg=Pm-3m magnetic_moment_mub_per_fu=2.7 dft_energy_ev_per_atom=-47.57 pbc="T T T"
Be 2.607 2.607 2.607
Hg 0.000 2.607 0.000
Hg 0.000 0.000 2.607
Hg 2.607 0.000 0.000
Tc 0.000 0.000 0.000

=====

(16)
4
Lattice="3.305 0.000 0.000 1.652 2.862 0.000 1.652 0.954 8.187" Properties=species:S:1:pos:R:3 comment="MnCoPb2 (SCAN, single point on PBEsol structure)" e_form_ev_per_fu=1.81 sg=R-3m magnetic_moment_mub_per_fu=5.8 dft_energy_ev_per_atom=-46.33 pbc="T T T"
Co 3.305 1.908 4.094
Mn 0.000 0.000 0.000
Pb 1.652 0.954 2.217
Pb 4.957 2.862 5.970

=====

(17)
5
Lattice="4.956 0.000 0.000 0.000 4.956 0.000 0.000 0.000 4.956" Properties=species:S:1:pos:R:3 comment="La3SbH (SCAN, single point on PBEsol structure)" sg=Pm-3m magnetic_moment_mub_per_fu=0.1 dft_energy_ev_per_atom=-34.71 pbc="T T T"
Sb 2.478 2.478 2.478
La 0.000 2.478 0.000
La 0.000 0.000 2.478
La 2.478 0.000 0.000
H 0.000 0.000 0.000

=====

(18)
4
Lattice="2.981 0.000 0.000 0.000 4.074 0.000 -1.490 -2.037 4.252" Properties=species:S:1:pos:R:3 comment="CrRe2Si (SCAN, single point on PBEsol structure)" sg=Imm2 magnetic_moment_mub_per_fu=0.0 dft_energy_ev_per_atom=-42.84 pbc="T T T"
Re 0.000 2.037 0.034
Re 0.000 0.000 2.069
Si 0.000 2.037 4.198
Cr 1.490 2.037 2.204

=====

(19)
4
Lattice="-2.964 -0.758 -2.038 0.370 -0.723 -3.585 -0.364 -5.063 -0.901" Properties=species:S:1:pos:R:3 comment="AgHF2 (SCAN, single point on PBEsol structure)" sg=R-3m magnetic_moment_mub_per_fu=0.1 dft_energy_ev_per_atom=-11.82 pbc="T T T"
H 0.000 0.000 0.000
Ag -1.479 -3.272 -3.262
F -2.472 -2.595 -5.386
F -0.486 -3.950 -1.138

=====

(20)
5
Lattice="5.483 0.000 0.000 0.000 5.483 0.000 0.000 0.000 5.483" Properties=species:S:1:pos:R:3 comment="Y3HgAu (SCAN, single point on PBEsol structure)" e_form_ev_per_fu=0.53 sg=Pm-3m magnetic_moment_mub_per_fu=1.7 dft_energy_ev_per_atom=-44.07 pbc="T T T"
Y 0.000 2.741 0.000
Y 0.000 0.000 2.741
Y 2.741 0.000 0.000
Au 2.741 2.741 2.741
Hg 0.000 0.000 0.000

=====

(21)
4
Lattice="4.233 0.000 0.000 2.117 3.666 0.000 2.117 1.222 6.107" Properties=species:S:1:pos:R:3 comment="CaAsSe2 (SCAN, single point on PBEsol structure)" sg=R-3m magnetic_moment_mub_per_fu=0.0 dft_energy_ev_per_atom=-18.31 pbc="T T T"
As 4.233 2.444 3.054
Ca 0.000 0.000 0.000
Se 2.117 1.222 1.679
Se 6.350 3.666 4.428

=====

(22)
4
Lattice="-2.622 -1.844 1.877 2.263 -2.933 0.279 1.710 3.916 2.560" Properties=species:S:1:pos:R:3 comment="ZnIrW2 (SCAN, single point on PBEsol structure)" e_form_ev_per_fu=0.26 sg=I4/mmm magnetic_moment_mub_per_fu=0.0 dft_energy_ev_per_atom=-55.93 pbc="T T T"
Ir 0.000 0.000 0.000
W -0.546 -0.158 2.758
W 1.897 -0.703 1.959
Zn -0.179 -2.389 1.078

=====

(23)
4
Lattice="4.551 0.000 0.000 2.275 3.941 0.000 2.275 1.314 7.237" Properties=species:S:1:pos:R:3 comment="CsTlN2 (SCAN, single point on PBEsol structure)" sg=R-3m magnetic_moment_mub_per_fu=2.0 dft_energy_ev_per_atom=-30.96 pbc="T T T"
Cs 4.551 2.627 3.619
Tl 0.000 0.000 0.000
N 6.826 3.941 1.951
N 2.275 1.314 5.287

=====

(24)
5
Lattice="3.739 0.000 0.000 0.000 3.739 0.000 -1.869 -1.869 5.723" Properties=species:S:1:pos:R:3 comment="NbOs2Ru2 (SCAN, single point on PBEsol structure)" e_form_ev_per_fu=1.53 sg=I4/mmm magnetic_moment_mub_per_fu=0.0 dft_energy_ev_per_atom=-49.00 pbc="T T T"
Ru 0.000 1.869 2.861
Ru 1.869 0.000 2.861
Nb 0.000 0.000 0.000
Os 0.000 0.000 4.557
Os 1.869 1.869 1.166

=====

(25)
4
Lattice="-2.638 -0.078 0.861 -1.478 -2.335 -0.265 1.194 -3.294 7.841" Properties=species:S:1:pos:R:3 comment="Ni2AsAu (SCAN, single point on PBEsol structure)" e_form_ev_per_fu=0.69 sg=R3m magnetic_moment_mub_per_fu=1.0 dft_energy_ev_per_atom=-30.25 pbc="T T T"
As -1.344 -2.967 4.567
Au -0.791 -1.368 1.929
Ni 1.127 -3.230 7.642
Ni -2.181 -4.291 6.360

=====

(26)
5
Lattice="4.850 0.000 0.000 0.000 4.850 0.000 0.000 0.000 5.094" Properties=species:S:1:pos:R:3 comment="NbCrPtBr2 (SCAN, single point on PBEsol structure)" sg=P4/mmm magnetic_moment_mub_per_fu=2.2 dft_energy_ev_per_atom=-31.15 pbc="T T T"
Cr 0.000 0.000 2.547
Nb 0.000 0.000 0.000
Br 0.000 2.425 0.000
Br 2.425 0.000 0.000
Pt 2.425 2.425 2.547

=====

(27)
4
Lattice="2.826 0.016 0.023 -0.856 4.941 0.053 -0.856 -1.610 4.672" Properties=species:S:1:pos:R:3 comment="Ta2PtCl (SCAN, single point on PBEsol structure)" sg=C2/m magnetic_moment_mub_per_fu=0.0 dft_energy_ev_per_atom=-52.73 pbc="T T T"
Cl 1.413 0.008 0.012
Pt 0.557 1.674 2.374
Ta -0.428 2.470 0.027
Ta -0.428 -0.805 2.336

=====

(28)
4
Lattice="5.082 0.000 0.000 2.541 4.401 0.000 2.541 1.467 4.150" Properties=species:S:1:pos:R:3 comment="LiY2Ta (SCAN, single point on PBEsol structure)" e_form_ev_per_fu=1.49 sg=Fm-3m magnetic_moment_mub_per_fu=2.3 dft_energy_ev_per_atom=-30.79 pbc="T T T"
Li 0.000 0.000 0.000
Ta 5.082 2.934 2.075
Y 2.541 1.467 1.037
Y 7.623 4.401 3.112

=====

(29)
8
Lattice="-0.516 5.163 1.401 -1.046 -1.891 6.584 6.427 1.258 -2.265" Properties=species:S:1:pos:R:3 comment="TmLu3 (SCAN, single point on PBEsol structure)" e_form_ev_per_fu=0.00 sg=P6_3/mmc magnetic_moment_mub_per_fu=0.0 dft_energy_ev_per_atom=-54.47 pbc="T T T"
Lu 4.531 1.077 2.855
Lu 1.836 1.394 0.692
Lu 5.054 2.024 -0.441
Lu 0.334 3.452 2.865
Lu 3.029 3.134 5.028
Lu -0.189 2.505 6.161
Tm 3.549 4.080 1.736
Tm 1.316 0.449 3.985